1.
First-principles (PBE) data for a geometry-optimized MgCuAs2 structure, as listed in the Alexandria database.

Results
symmetry = No. 99
formation energy from the elements = 14 meV/atom

CIF file:
```
data_MgCuAs2
_space_group_name_H-M_alt 'P 1'
_space_group_IT_number 1
_space_group_name_Hall 'P 1'
_cell_length_a 3.6358
_cell_length_b 3.6358
_cell_length_c 5.5325
_cell_angle_alpha 90.00
_cell_angle_beta 90.00
_cell_angle_gamma 90.00
loop_
_atom_site_label
_atom_site_fract_x
_atom_site_fract_y
_atom_site_fract_z
Mg1 0.0000 0.0000 0.0000
Cu1 0.5000 0.5000 0.6032
As1 0.0000 0.0000 0.5190
As2 0.5000 0.5000 0.1470
```



2.
First-principles (PBE) data for a geometry-optimized MgCuAs structure, as listed in the Alexandria database.

Results
symmetry = No. 62
formation energy from the elements = -359 meV/atom

CIF file:
```
data_MgCuAs
_space_group_name_H-M_alt 'P 1'
_space_group_IT_number 1
_space_group_name_Hall 'P 1'
_cell_length_a 13.5701
_cell_length_b 4.0043
_cell_length_c 7.3974
_cell_angle_alpha 90.00
_cell_angle_beta 90.00
_cell_angle_gamma 90.00
loop_
_atom_site_label
_atom_site_fract_x
_atom_site_fract_y
_atom_site_fract_z
Mg1 0.1082 0.2500 0.0583
Mg2 0.1412 0.7500 0.6727
Mg3 0.3588 0.2500 0.1727
Mg4 0.3918 0.7500 0.5583
Mg5 0.6082 0.2500 0.4417
Mg6 0.6412 0.7500 0.8273
Mg7 0.8588 0.2500 0.3273
Mg8 0.8918 0.7500 0.9417
Cu1 0.0653 0.2500 0.4313
Cu2 0.1854 0.7500 0.3004
Cu3 0.3146 0.2500 0.8004
Cu4 0.4347 0.7500 0.9313
Cu5 0.5653 0.2500 0.0687
Cu6 0.6854 0.7500 0.1996
Cu7 0.8146 0.2500 0.6996
Cu8 0.9347 0.7500 0.5687
As1 0.0002 0.2500 0.7534
As2 0.9998 0.7500 0.2466
As3 0.2473 0.7500 0.9786
As4 0.2527 0.2500 0.4786
As5 0.5002 0.2500 0.7466
As6 0.4998 0.7500 0.2534
As7 0.7473 0.7500 0.5214
As8 0.7527 0.2500 0.0214
```



> What is the formation energy from the elements in the first record?

14 meV/atom



> Which value of formation energy from the elements does entry 2 give?

-359 meV/atom



> Which formula does entry 2 have?

MgCuAs